[1]
A crystal of Y2InRh relaxed with PBEsol. Source: the Alexandria database, functional meta-GGA SCAN.

Calculated values
formation enthalpy at 0 K	-0.7299	eV/atom

Cell lengths 3.7946, 4.4113, 11.3459 Å; angles 90.00, 90.00, 90.00 degrees
With the nearest neighbours (Å) after each atom.
Space group Amm2 (No. 38)
Symmetry-distinct sites (fractional):
Y  0.0000  0.0000  0.0000 (multiplicity 2)  1 Rh 2.67
Y  0.5000  0.0000  0.3002 (multiplicity 2)  4 Rh 2.94, 2 In 3.22
In  0.5000  0.0000  0.5936 (multiplicity 2)  2 Rh 2.71
Rh  0.0000  0.0000  0.7644 (multiplicity 2)  5 Y 2.67-2.94, 2 In 2.71

---

[2]
A crystal of YIn2Rh2 relaxed with PBEsol. Source: the Alexandria database, functional meta-GGA SCAN.

Calculated values
formation enthalpy at 0 K	-0.5507	eV/atom

Cell lengths 4.1380, 4.1380, 11.8146 Å; angles 90.00, 90.00, 90.00 degrees
With the nearest neighbours (Å) after each atom.
Space group I4/mmm (No. 139)
Symmetry-distinct sites (fractional):
Y  0.0000  0.0000  0.0000 (multiplicity 2)  8 Rh 3.17
In  0.0000  0.5000  0.2500 (multiplicity 4)  4 Rh 2.69, 4 In 2.93
Rh  0.0000  0.0000  0.3958 (multiplicity 4)  1 Rh 2.46, 4 In 2.69

---

[3]
A crystal of ZnIn2Rh2 relaxed with PBEsol. Source: the Alexandria database, functional meta-GGA SCAN.

Calculated values
formation enthalpy at 0 K	-0.3960	eV/atom

Cell lengths 6.4928, 6.4928, 3.9954 Å; angles 90.00, 90.00, 90.00 degrees
With the nearest neighbours (Å) after each atom.
Space group P4/mbm (No. 127)
Symmetry-distinct sites (fractional):
Zn  0.0000  0.0000  0.0000 (multiplicity 2)  4 Rh 2.48
In  0.1603  0.3397  0.5000 (multiplicity 4)  6 Rh 2.67-2.83, 1 In 2.94
Rh  0.1471  0.6471  0.0000 (multiplicity 4)  2 Zn 2.48, 2 In 2.67, 1 Rh 2.70

---

The records above yield density of states at the Fermi level values of 5.02 6.37 3.11 states/eV per cell, respectively.